No. 1
VASP calculation (PBE-GGA) on an optimized crystal structure of SrCrAs2.

Lattice parameters (Å, degrees): 3.1932 3.1939 7.4105 90.00 90.00 90.00
Last column: nearest neighbours and their distance in Å.
Positions (direct):
As  0.0000  0.0000  0.0608  4 Cr 2.66, 1 As 2.80
As  0.0000  0.0000  0.4392  4 Cr 2.66, 1 As 2.80
Cr  0.5000  0.5000  0.2500  8 As 2.66
Sr  0.5000  0.5000  0.7500  4 Sr 3.19, 8 As 3.23

The calculation puts the energy above the lowest structure with this stoichiometry at 337 meV/atom. The value obtained for the density is 6.36 g/cm³. The calculation puts the formation energy at -0.20 eV/atom. The density of states at the Fermi level comes out at 0.395 states/eV/atom.

=====

No. 2
VASP calculation (PBE-GGA) on an optimized crystal structure of Sr3U3CrAs8.

Lattice parameters (Å, degrees): 8.2033 8.2034 8.6342 118.36 90.00 120.00
Last column: nearest neighbours and their distance in Å.
Positions (direct):
Sr  0.0000  0.0000  0.0000  6 As 3.12-3.18
Sr  0.0000  0.5000  0.0000  6 As 3.12-3.18
Sr  0.5000  0.5000  0.0000  6 As 3.12-3.18
U  0.5000  0.0000  0.5000  6 As 2.81-2.85
U  0.5000  0.5000  0.5000  6 As 2.81-2.85
U  0.0000  0.5000  0.5000  6 As 2.81-2.85
Cr  0.0000  0.0000  0.5000  6 As 2.69-2.70
As  0.2604  0.5208  0.2810  3 U 2.85, 3 Sr 3.12
As  0.7396  0.4792  0.7190  3 U 2.85, 3 Sr 3.12
As  0.7732  0.5465  0.2999  1 Cr 2.69, 2 U 2.82
As  0.2268  0.4535  0.7001  1 Cr 2.69, 2 U 2.82
As  0.7731  0.0268  0.2999  1 Cr 2.70, 2 U 2.81
As  0.2269  0.9732  0.7001  1 Cr 2.70, 2 U 2.81
As  0.2536  0.0268  0.2999  1 Cr 2.70, 2 U 2.81
As  0.7464  0.9732  0.7001  1 Cr 2.70, 2 U 2.81

The value obtained for the density is 6.43 g/cm³. The calculation puts the formation energy at -0.67 eV/atom. The density of states at the Fermi level comes out at 1.102 states/eV/atom.

=====

No. 3
VASP calculation (PBE-GGA) on an optimized crystal structure of TaCrAs.

Lattice parameters (Å, degrees): 4.9787 4.9787 4.9787 142.82 142.82 53.60
Last column: nearest neighbours and their distance in Å.
Positions (direct):
As  0.9842  0.9842  0.0000  4 Cr 2.56, 5 Ta 2.79
Cr  0.3455  0.3455  0.0000  4 As 2.56, 4 Ta 2.73
Ta  0.6703  0.6703  0.0000  5 Cr 2.73-2.89, 5 As 2.79

The value obtained for the density is 11.41 g/cm³. The calculation puts the formation energy at 0.04 eV/atom. The density of states at the Fermi level comes out at 1.273 states/eV/atom.